--- P ---
DFT (PBE-GGA) results for BeHgRh after structural relaxation.

Computed properties:
DOS at the Fermi energy = 0.55 states/eV/cell
total moment = 0.0 μB per formula unit

Cell: 3.9524 3.9524 3.3341 Å, 90.00 90.00 120.00°
Space group P-6m2 (No. 187)
One atom of each set of equivalent atoms:
Be  0.0000  0.0000  0.0000 (multiplicity 1)
Hg  0.6667  0.3333  0.5000 (multiplicity 1)
Rh  0.3333  0.6667  0.0000 (multiplicity 1)

=====

--- Q ---
DFT (PBE-GGA) results for BeHgRh after structural relaxation.

Computed properties:
DOS at the Fermi energy = 2.12 states/eV/cell
total moment = 0.0 μB per formula unit

Cell: 2.996 2.996 9.836 Å, 90.00 90.00 90.00°
Space group I4mm (No. 107)
One atom of each set of equivalent atoms:
Be  0.000  0.000  0.000 (multiplicity 2)
Hg  0.000  0.000  0.704 (multiplicity 2)
Rh  0.000  0.000  0.412 (multiplicity 2)

=====

Among the structures above, stability is smallest for P.